A relaxed structure of In4AgHg6, computed with PBE. Values from VASP.

```
&SYSTEM
  ibrav = 0, nat = 11, ntyp = 3
/
ATOMIC_SPECIES
In 114.82 In.upf
Hg 200.59 Hg.upf
Ag 107.87 Ag.upf
CELL_PARAMETERS angstrom
3.324 -0.886 -0.002
-1.243 8.889 -5.021
0.002 -0.013 10.050
ATOMIC_POSITIONS angstrom
In 0.871 7.008 2.859
In -0.241 2.764 5.024
In -0.329 2.614 0.002
In 0.872 7.015 -2.862
Hg 1.046 1.292 7.388
Hg 0.114 7.839 0.002
Hg 1.864 4.288 -1.662
Hg 1.048 1.290 2.660
Hg 2.135 4.775 5.027
Hg 1.858 4.276 1.679
Ag -0.484 8.631 5.023
```

**ΔE_f**: 2.1 kJ/mol of atoms
**M_tot**: 0.000 μB/f.u.
**Electronic total energy**: -1.40 eV per atom

=====

A relaxed structure of InAg2Hg, computed with PBE. Values from VASP.

```
&SYSTEM
  ibrav = 0, nat = 4, ntyp = 3
/
ATOMIC_SPECIES
Ag 107.87 Ag.upf
In 114.82 In.upf
Hg 200.59 Hg.upf
CELL_PARAMETERS angstrom
-0.788 3.713 3.084
-3.459 -0.368 3.438
1.264 -0.419 4.706
ATOMIC_POSITIONS angstrom
Ag -0.746 0.732 2.807
Ag 0.000 0.000 0.000
In -2.238 2.195 8.420
Hg -1.492 1.463 5.614
```

**ΔE_f**: 8.0 kJ/mol of atoms
**M_tot**: 0.000 μB/f.u.
**Electronic total energy**: -2.10 eV per atom

=====

A relaxed structure of In5Ag2Hg12, computed with PBE. Values from VASP.

```
&SYSTEM
  ibrav = 0, nat = 19, ntyp = 3
/
ATOMIC_SPECIES
Ag 107.87 Ag.upf
In 114.82 In.upf
Hg 200.59 Hg.upf
CELL_PARAMETERS angstrom
-0.079 -5.861 -8.353
6.754 -4.689 -6.044
0.302 -6.921 2.620
ATOMIC_POSITIONS angstrom
Ag 2.001 -5.504 -7.650
Ag 4.674 -5.045 -6.747
In 0.151 -3.460 1.310
In 4.626 -13.217 -6.977
In 2.352 -4.254 -4.800
In 5.134 -11.145 -9.534
In 1.843 -6.325 -2.243
Hg 0.613 -1.419 -1.093
Hg 4.560 -6.336 -4.098
Hg 2.926 -9.097 -10.128
Hg 0.453 -8.991 -2.866
Hg 2.418 -11.134 -7.679
Hg 3.750 -7.935 -7.066
Hg 0.909 -6.963 -5.331
Hg 6.365 -16.051 -10.685
Hg 6.069 -10.508 -6.446
Hg 3.228 -9.535 -4.711
Hg 4.052 -8.373 -1.649
Hg 6.524 -8.480 -8.912
```

**ΔE_f**: 4.1 kJ/mol of atoms
**M_tot**: 0.000 μB/f.u.
**Electronic total energy**: -1.17 eV per atom

=====

A relaxed structure of InAg8Hg2, computed with PBE. Values from VASP.

```
&SYSTEM
  ibrav = 0, nat = 11, ntyp = 3
/
ATOMIC_SPECIES
Ag 107.87 Ag.upf
Hg 200.59 Hg.upf
In 114.82 In.upf
CELL_PARAMETERS angstrom
4.520 0.000 -1.302
-1.031 7.198 -3.582
-0.313 -1.136 7.410
ATOMIC_POSITIONS angstrom
Ag -0.020 1.615 -0.070
Ag 0.700 2.967 2.430
Ag 1.767 5.098 -2.365
Ag 2.475 3.095 0.097
Ag 3.195 4.447 2.597
Ag 2.509 6.095 0.215
Ag 1.409 0.965 4.892
Ag 0.666 -0.033 2.313
Hg 3.210 1.516 2.648
Hg -0.035 4.546 -0.121
In 2.260 0.000 -0.651
```

**ΔE_f**: 4.4 kJ/mol of atoms
**M_tot**: 0.000 μB/f.u.
**Electronic total energy**: -2.33 eV per atom

=====

A relaxed structure of In3Ag4Hg2, computed with PBE. Values from VASP.

```
&SYSTEM
  ibrav = 0, nat = 9, ntyp = 3
/
ATOMIC_SPECIES
Ag 107.87 Ag.upf
In 114.82 In.upf
Hg 200.59 Hg.upf
CELL_PARAMETERS angstrom
-3.783 0.680 -3.256
2.116 -4.499 0.498
-6.216 1.238 7.481
ATOMIC_POSITIONS angstrom
Ag -2.225 -1.143 -1.550
Ag -2.063 0.300 2.459
Ag -5.658 -1.438 6.273
Ag -5.820 -2.881 2.264
In -3.654 -1.716 3.887
In 0.000 0.000 0.000
In -4.229 -0.865 0.836
Hg -6.468 -0.127 3.592
Hg -1.414 -2.454 1.131
```

**ΔE_f**: 4.3 kJ/mol of atoms
**M_tot**: 0.000 μB/f.u.
**Electronic total energy**: -2.20 eV per atom

=====

A relaxed structure of In6AgHg12, computed with PBE. Values from VASP.

```
&SYSTEM
  ibrav = 0, nat = 19, ntyp = 3
/
ATOMIC_SPECIES
Ag 107.87 Ag.upf
Hg 200.59 Hg.upf
In 114.82 In.upf
CELL_PARAMETERS angstrom
7.964 0.971 1.163
-0.248 8.020 1.163
-0.248 -0.289 8.098
ATOMIC_POSITIONS angstrom
Ag 0.000 0.000 0.000
Hg 6.391 8.528 7.436
Hg 3.765 4.862 2.886
Hg 4.235 2.043 4.902
Hg 1.077 0.173 2.988
Hg 3.233 6.658 5.522
Hg 3.704 3.839 7.538
Hg 0.008 2.745 1.607
Hg 7.461 5.956 8.817
Hg 4.756 7.196 9.720
Hg 2.712 1.506 0.704
Hg 1.377 4.020 5.300
Hg 6.091 4.681 5.124
In 2.216 6.346 8.357
In 5.252 2.356 2.067
In 5.936 7.659 4.595
In 1.532 1.042 5.828
In 6.670 3.265 7.737
In 0.798 5.436 2.687
```

**ΔE_f**: 4.0 kJ/mol of atoms
**M_tot**: 0.000 μB/f.u.
**Electronic total energy**: -1.16 eV per atom

=====

A relaxed structure of InAg2Hg, computed with PBE. Values from VASP.

```
&SYSTEM
  ibrav = 0, nat = 4, ntyp = 3
/
ATOMIC_SPECIES
Ag 107.87 Ag.upf
Hg 200.59 Hg.upf
In 114.82 In.upf
CELL_PARAMETERS angstrom
4.404 0.000 0.000
0.000 3.047 0.387
0.000 1.778 6.415
ATOMIC_POSITIONS angstrom
Ag 0.000 2.415 3.409
Ag 0.000 1.776 6.407
Hg 2.202 1.206 1.700
In 2.202 3.619 5.101
```

**ΔE_f**: 5.8 kJ/mol of atoms
**M_tot**: 0.000 μB/f.u.
**Electronic total energy**: -2.13 eV per atom

=====

A relaxed structure of InAg2Hg, computed with PBE. Values from VASP.

```
&SYSTEM
  ibrav = 0, nat = 4, ntyp = 3
/
ATOMIC_SPECIES
Ag 107.87 Ag.upf
Hg 200.59 Hg.upf
In 114.82 In.upf
CELL_PARAMETERS angstrom
-2.144 -1.783 -3.777
-3.177 -3.421 0.500
-5.276 1.579 -0.669
ATOMIC_POSITIONS angstrom
Ag -2.476 -1.069 -1.007
Ag -4.528 0.872 -0.759
Hg -8.661 -2.043 -2.873
In -5.504 -1.617 -1.948
```

**ΔE_f**: 9.8 kJ/mol of atoms
**M_tot**: 0.000 μB/f.u.
**Electronic total energy**: -2.08 eV per atom

=====

A relaxed structure of InAgHg2, computed with PBE. Values from VASP.

```
&SYSTEM
  ibrav = 0, nat = 4, ntyp = 3
/
ATOMIC_SPECIES
Ag 107.87 Ag.upf
In 114.82 In.upf
Hg 200.59 Hg.upf
CELL_PARAMETERS angstrom
-1.352 3.942 -3.013
0.998 -0.158 -5.042
-3.849 -0.539 -3.367
ATOMIC_POSITIONS angstrom
Ag -2.101 1.622 -5.711
In -1.051 0.811 -2.856
Hg -3.152 2.433 -8.567
Hg 0.000 0.000 0.000
```

**ΔE_f**: 10.1 kJ/mol of atoms
**M_tot**: 0.000 μB/f.u.
**Electronic total energy**: -1.44 eV per atom

=====

A relaxed structure of In2Ag6Hg, computed with PBE. Values from VASP.

```
&SYSTEM
  ibrav = 0, nat = 9, ntyp = 3
/
ATOMIC_SPECIES
Ag 107.87 Ag.upf
In 114.82 In.upf
Hg 200.59 Hg.upf
CELL_PARAMETERS angstrom
-3.471 3.383 2.028
-0.076 -1.565 5.057
2.440 6.505 2.383
ATOMIC_POSITIONS angstrom
Ag 2.000 5.145 2.802
Ag -3.108 3.178 6.666
Ag -0.289 2.194 6.360
Ag -0.016 7.275 7.306
Ag -1.091 1.048 2.162
Ag -0.819 6.129 3.107
In 0.636 4.923 5.568
In -1.743 3.400 3.900
Hg 1.182 2.470 3.720
```

**ΔE_f**: 1.0 kJ/mol of atoms
**M_tot**: 0.000 μB/f.u.
**Electronic total energy**: -2.53 eV per atom

=====

A relaxed structure of In2Ag5Hg2, computed with PBE. Values from VASP.

```
&SYSTEM
  ibrav = 0, nat = 18, ntyp = 3
/
ATOMIC_SPECIES
Ag 107.87 Ag.upf
In 114.82 In.upf
Hg 200.59 Hg.upf
CELL_PARAMETERS angstrom
4.571 0.000 0.000
0.000 9.270 0.000
-2.286 -4.635 8.894
ATOMIC_POSITIONS angstrom
Ag 0.003 -1.412 5.914
Ag -0.002 2.312 7.454
Ag 2.283 3.223 2.980
Ag 2.283 3.223 5.914
Ag 2.288 -2.323 7.454
Ag -0.002 2.312 1.440
Ag -0.003 4.193 4.447
Ag 2.288 6.947 1.440
Ag 2.289 -0.442 4.447
Ag 0.003 -1.412 2.980
In 0.001 5.200 1.719
In 2.284 0.564 7.175
In 2.284 0.564 1.719
In 0.001 5.200 7.175
Hg 0.000 8.541 0.000
Hg 0.002 1.356 4.447
Hg 2.283 5.991 4.447
Hg 2.286 3.906 0.000
```

**ΔE_f**: 5.6 kJ/mol of atoms
**M_tot**: 0.000 μB/f.u.
**Electronic total energy**: -2.20 eV per atom

=====

A relaxed structure of In3Ag3Hg, computed with PBE. Values from VASP.

```
&SYSTEM
  ibrav = 0, nat = 14, ntyp = 3
/
ATOMIC_SPECIES
Ag 107.87 Ag.upf
In 114.82 In.upf
Hg 200.59 Hg.upf
CELL_PARAMETERS angstrom
-4.232 -3.665 -3.448
-1.935 -3.614 5.640
-4.764 4.959 1.151
ATOMIC_POSITIONS angstrom
Ag -5.574 -0.289 -1.886
Ag -5.356 -2.031 5.228
Ag -3.011 -3.673 4.590
Ag -8.787 0.357 1.371
Ag -7.920 1.353 -1.248
Ag -2.143 -2.676 1.971
In -3.437 -1.567 -0.384
In -7.493 -0.753 3.727
In -4.989 1.002 5.057
In -1.710 0.343 1.734
In -5.033 -2.533 2.370
In -5.898 0.214 0.973
Hg -6.894 -4.446 0.913
Hg -4.037 2.126 2.430
```

**ΔE_f**: 4.0 kJ/mol of atoms
**M_tot**: 0.000 μB/f.u.
**Electronic total energy**: -2.40 eV per atom

=====

A relaxed structure of In2AgHg4, computed with PBE. Values from VASP.

```
&SYSTEM
  ibrav = 0, nat = 7, ntyp = 3
/
ATOMIC_SPECIES
Hg 200.59 Hg.upf
Ag 107.87 Ag.upf
In 114.82 In.upf
CELL_PARAMETERS angstrom
3.464 -0.145 0.027
-1.831 3.198 -0.122
0.104 0.678 16.156
ATOMIC_POSITIONS angstrom
Hg -0.001 2.758 8.590
Hg 0.130 0.946 15.199
Hg -0.024 0.461 3.919
Hg -0.045 2.886 12.787
Ag 1.667 1.662 10.729
In 1.710 1.532 6.291
In 1.843 1.407 1.465
```

**ΔE_f**: 5.0 kJ/mol of atoms
**M_tot**: 0.000 μB/f.u.
**Electronic total energy**: -1.31 eV per atom

=====

A relaxed structure of InAgHg2, computed with PBE. Values from VASP.

```
&SYSTEM
  ibrav = 0, nat = 4, ntyp = 3
/
ATOMIC_SPECIES
In 114.82 In.upf
Hg 200.59 Hg.upf
Ag 107.87 Ag.upf
CELL_PARAMETERS angstrom
5.181 -0.036 -0.092
4.046 3.236 -0.092
1.055 0.366 5.511
ATOMIC_POSITIONS angstrom
In 2.571 0.892 1.332
Hg 5.101 1.769 2.769
Hg 1.096 0.380 5.405
Ag 7.712 2.675 3.995
```

**ΔE_f**: 5.2 kJ/mol of atoms
**M_tot**: 0.000 μB/f.u.
**Electronic total energy**: -1.49 eV per atom

=====

A relaxed structure of InAgHg2, computed with PBE. Values from VASP.

```
&SYSTEM
  ibrav = 0, nat = 4, ntyp = 3
/
ATOMIC_SPECIES
Hg 200.59 Hg.upf
Ag 107.87 Ag.upf
In 114.82 In.upf
CELL_PARAMETERS angstrom
3.319 0.019 0.000
-0.017 3.319 0.000
0.000 0.000 8.564
ATOMIC_POSITIONS angstrom
Hg 0.000 0.000 8.355
Hg 1.651 1.669 2.147
Ag 1.651 1.669 6.416
In 0.000 0.000 4.492
```

**ΔE_f**: 5.1 kJ/mol of atoms
**M_tot**: 0.000 μB/f.u.
**Electronic total energy**: -1.50 eV per atom

=====

A relaxed structure of In2AgHg5, computed with PBE. Values from VASP.

```
&SYSTEM
  ibrav = 0, nat = 8, ntyp = 3
/
ATOMIC_SPECIES
Ag 107.87 Ag.upf
Hg 200.59 Hg.upf
In 114.82 In.upf
CELL_PARAMETERS angstrom
6.543 -0.127 1.049
-1.968 5.555 1.824
-1.154 -0.677 5.146
ATOMIC_POSITIONS angstrom
Ag -0.687 0.114 3.647
Hg 3.322 3.907 2.501
Hg 1.022 1.111 1.495
Hg 4.697 1.416 1.369
Hg 1.491 2.122 4.482
Hg 0.313 4.296 1.727
In -1.601 3.159 3.875
In 3.242 -0.357 3.305
```

**ΔE_f**: 4.5 kJ/mol of atoms
**M_tot**: 0.000 μB/f.u.
**Electronic total energy**: -1.18 eV per atom

=====

A relaxed structure of In3AgHg3, computed with PBE. Values from VASP.

```
&SYSTEM
  ibrav = 0, nat = 14, ntyp = 3
/
ATOMIC_SPECIES
Hg 200.59 Hg.upf
Ag 107.87 Ag.upf
In 114.82 In.upf
CELL_PARAMETERS angstrom
-2.010 -4.596 -4.209
0.472 -6.323 1.634
-8.791 2.738 4.544
ATOMIC_POSITIONS angstrom
Hg -7.907 -8.245 0.922
Hg -3.135 -2.254 -1.121
Hg -2.422 0.064 1.048
Hg -8.391 -5.093 0.272
Hg -7.194 -5.926 3.091
Hg -1.938 -3.088 1.697
Ag -1.138 -7.798 -1.822
Ag -9.191 -0.383 3.791
In -5.162 -1.414 1.775
In -5.167 -6.767 0.195
In -1.400 -5.021 -2.773
In -4.568 -4.506 2.389
In -0.138 -5.899 0.199
In -5.761 -3.675 -0.419
```

**ΔE_f**: 5.5 kJ/mol of atoms
**M_tot**: 0.000 μB/f.u.
**Electronic total energy**: -1.65 eV per atom

=====

A relaxed structure of In4Ag2Hg3, computed with PBE. Values from VASP.

```
&SYSTEM
  ibrav = 0, nat = 9, ntyp = 3
/
ATOMIC_SPECIES
Ag 107.87 Ag.upf
In 114.82 In.upf
Hg 200.59 Hg.upf
CELL_PARAMETERS angstrom
4.872 0.000 -1.343
-0.294 5.961 -1.066
-0.534 1.092 7.571
ATOMIC_POSITIONS angstrom
Ag 1.386 4.650 5.028
Ag 2.658 2.403 0.133
In 0.614 4.358 2.228
In 2.552 5.407 -0.250
In 1.492 1.646 5.411
In 3.430 2.695 2.933
Hg 3.484 5.883 3.127
Hg 0.561 1.170 2.034
Hg -0.147 2.980 -0.533
```

**ΔE_f**: 2.7 kJ/mol of atoms
**M_tot**: 0.000 μB/f.u.
**Electronic total energy**: -1.92 eV per atom

=====

A relaxed structure of InAgHg4, computed with PBE. Values from VASP.

```
&SYSTEM
  ibrav = 0, nat = 6, ntyp = 3
/
ATOMIC_SPECIES
Hg 200.59 Hg.upf
In 114.82 In.upf
Ag 107.87 Ag.upf
CELL_PARAMETERS angstrom
4.067 -3.419 2.851
3.515 2.418 4.262
-0.829 -1.477 5.788
ATOMIC_POSITIONS angstrom
Hg 2.114 -1.670 7.736
Hg 4.570 -2.644 6.263
Hg 4.293 0.284 6.971
Hg 2.530 -0.929 4.833
In 5.065 -1.859 9.676
Ag 0.000 0.000 0.000
```

**ΔE_f**: 20.2 kJ/mol of atoms
**M_tot**: 0.000 μB/f.u.
**Electronic total energy**: -0.92 eV per atom

=====

A relaxed structure of In4AgHg7, computed with PBE. Values from VASP.

```
&SYSTEM
  ibrav = 0, nat = 12, ntyp = 3
/
ATOMIC_SPECIES
Hg 200.59 Hg.upf
In 114.82 In.upf
Ag 107.87 Ag.upf
CELL_PARAMETERS angstrom
-1.815 1.282 -2.725
4.745 -4.167 -2.851
-9.610 -9.694 1.839
ATOMIC_POSITIONS angstrom
Hg -5.013 -7.969 -0.410
Hg -1.582 -2.927 -0.323
Hg -6.224 -10.996 -1.027
Hg -1.275 -8.353 -3.080
Hg -1.727 -4.842 -3.396
Hg -0.051 -1.555 -2.965
Hg -4.643 -9.545 -3.666
In -0.044 -0.062 0.000
In -3.197 -5.404 -0.413
In -8.102 -8.333 -0.793
In 1.316 -4.428 -2.959
Ag -3.824 -6.856 -2.947
```

**ΔE_f**: 2.4 kJ/mol of atoms
**M_tot**: 0.000 μB/f.u.
**Electronic total energy**: -1.30 eV per atom

=====

A relaxed structure of In6AgHg3, computed with PBE. Values from VASP.

```
&SYSTEM
  ibrav = 0, nat = 20, ntyp = 3
/
ATOMIC_SPECIES
In 114.82 In.upf
Ag 107.87 Ag.upf
Hg 200.59 Hg.upf
CELL_PARAMETERS angstrom
3.346 0.000 0.000
0.000 12.420 -4.221
0.000 -0.079 12.566
ATOMIC_POSITIONS angstrom
In 0.836 2.679 10.207
In 2.509 9.662 -1.862
In 0.836 11.489 3.294
In 0.836 7.571 8.122
In 0.836 3.671 6.575
In 2.509 12.153 6.062
In 0.836 6.111 2.772
In 2.509 0.852 5.051
In 2.509 4.771 0.223
In 0.836 0.189 2.282
In 2.509 8.670 1.770
In 2.509 6.230 5.573
Ag 0.836 10.747 0.447
Ag 2.509 1.594 7.897
Hg 2.509 1.781 0.239
Hg 0.836 3.189 3.375
Hg 0.836 10.561 8.106
Hg 0.836 7.172 -0.913
Hg 2.509 9.152 4.970
Hg 2.509 5.169 9.258
```

**ΔE_f**: 1.7 kJ/mol of atoms
**M_tot**: 0.000 μB/f.u.
**Electronic total energy**: -2.00 eV per atom

=====

A relaxed structure of InAgHg2, computed with PBE. Values from VASP.

```
&SYSTEM
  ibrav = 0, nat = 4, ntyp = 3
/
ATOMIC_SPECIES
In 114.82 In.upf
Hg 200.59 Hg.upf
Ag 107.87 Ag.upf
CELL_PARAMETERS angstrom
6.442 0.275 0.190
3.054 5.678 -0.190
-3.895 -4.337 2.761
ATOMIC_POSITIONS angstrom
In 3.647 -0.542 1.476
Hg 0.203 0.127 0.000
Hg 4.545 2.849 0.000
Ag 1.954 2.159 1.286
```

**ΔE_f**: 6.7 kJ/mol of atoms
**M_tot**: 0.000 μB/f.u.
**Electronic total energy**: -1.48 eV per atom

=====

A relaxed structure of InAg2Hg, computed with PBE. Values from VASP.

```
&SYSTEM
  ibrav = 0, nat = 4, ntyp = 3
/
ATOMIC_SPECIES
In 114.82 In.upf
Hg 200.59 Hg.upf
Ag 107.87 Ag.upf
CELL_PARAMETERS angstrom
-2.204 -4.895 1.927
3.799 -3.415 2.538
-2.591 5.079 0.129
ATOMIC_POSITIONS angstrom
In 1.002 -1.245 2.450
Hg -1.999 -1.985 2.144
Ag 0.796 -4.145 2.227
Ag 0.002 -0.010 0.005
```

**ΔE_f**: 7.5 kJ/mol of atoms
**M_tot**: 0.000 μB/f.u.
**Electronic total energy**: -2.11 eV per atom